Record 1
GdMo | GGA-PBE | relaxed

formation energy from the elements: 1.932 eV per atom
energy above the most stable polymorph in this dataset: 1145 meV/atom
crystal system: hexagonal
electronic total energy: -5.820 eV/atom
volume: 125.6 Å³/cell

a b c (Å): 5.0316 5.0316 5.7305
angles (deg): 90.00 90.00 120.00
Sites, in units of the cell vectors:
Gd1 0.3333 0.6667 0.2500
Gd2 0.6667 0.3333 0.7500
Mo1 0.3333 0.6667 0.7500
Mo2 0.6667 0.3333 0.2500

Record 2
GdMo | GGA-PBE | relaxed

formation energy from the elements: 2.376 eV per atom
energy above the most stable polymorph in this dataset: 1590 meV/atom
crystal system: cubic
electronic total energy: -5.375 eV/atom
volume: 66.0 Å³/cell

a b c (Å): 4.5355 4.5355 4.5355
angles (deg): 60.00 60.00 60.00
Sites, in units of the cell vectors:
Gd1 0.0000 0.0000 0.0000
Mo1 0.7500 0.7500 0.7500

Record 3
GdMo | GGA-PBE | relaxed

formation energy from the elements: 0.786 eV per atom
energy above the most stable polymorph in this dataset: 0 meV/atom
crystal system: hexagonal
electronic total energy: -6.965 eV/atom
volume: 43.0 Å³/cell

a b c (Å): 3.0876 3.0876 5.2042
angles (deg): 90.00 90.00 120.00
Sites, in units of the cell vectors:
Gd1 0.0000 0.0000 0.0000
Mo1 0.6667 0.3333 0.5000

Record 4
GdMo | GGA-PBE | relaxed

formation energy from the elements: 1.377 eV per atom
energy above the most stable polymorph in this dataset: 591 meV/atom
crystal system: cubic
electronic total energy: -6.374 eV/atom
volume: 48.1 Å³/cell

a b c (Å): 4.0811 4.0811 4.0811
angles (deg): 60.00 60.00 60.00
Sites, in units of the cell vectors:
Gd1 0.0000 0.0000 0.0000
Mo1 0.5000 0.5000 0.5000

Record 5
Gd3Nb3Mo2N12 | GGA-PBE | relaxed

crystal system: cubic
electronic total energy: -9.091 eV/atom
volume: 1060.5 Å³/cell

a b c (Å): 11.1271 11.1271 11.1271
angles (deg): 109.47 109.47 109.47
Sites, in units of the cell vectors:
Gd1 0.1250 0.2500 0.3750
Gd2 0.1250 0.3750 0.7500
Gd3 0.2500 0.3750 0.1250
Gd4 0.2500 0.8750 0.6250
Gd5 0.3750 0.1250 0.2500
Gd6 0.3750 0.7500 0.1250
Gd7 0.6250 0.2500 0.8750
Gd8 0.6250 0.8750 0.7500
Gd9 0.7500 0.1250 0.3750
Gd10 0.7500 0.6250 0.8750
Gd11 0.8750 0.6250 0.2500
Gd12 0.8750 0.7500 0.6250
Nb1 0.1250 0.7500 0.8750
Nb2 0.1250 0.8750 0.2500
Nb3 0.2500 0.1250 0.8750
Nb4 0.2500 0.6250 0.3750
Nb5 0.3750 0.2500 0.6250
Nb6 0.3750 0.6250 0.7500
Nb7 0.6250 0.3750 0.2500
Nb8 0.6250 0.7500 0.3750
Nb9 0.7500 0.3750 0.6250
Nb10 0.7500 0.8750 0.1250
Nb11 0.8750 0.1250 0.7500
Nb12 0.8750 0.2500 0.1250
Mo1 0.0000 0.0000 0.0000
Mo2 0.0000 0.0000 0.5000
Mo3 0.0000 0.5000 0.0000
Mo4 0.0000 0.5000 0.5000
Mo5 0.5000 0.0000 0.0000
Mo6 0.5000 0.0000 0.5000
Mo7 0.5000 0.5000 0.0000
Mo8 0.5000 0.5000 0.5000
N1 0.0242 0.1998 0.1169
N2 0.0242 0.3244 0.9072
N3 0.0829 0.6998 0.6756
N4 0.0829 0.8831 0.4072
N5 0.0928 0.6169 0.4171
N6 0.0928 0.9758 0.6756
N7 0.1169 0.0242 0.1998
N8 0.1169 0.5928 0.9171
N9 0.1756 0.1998 0.5829
N10 0.1756 0.4758 0.5928
N11 0.1998 0.1169 0.0242
N12 0.1998 0.5829 0.1756
N13 0.3002 0.3244 0.9171
N14 0.3002 0.4758 0.3831
N15 0.3244 0.9072 0.0242
N16 0.3244 0.9171 0.3002
N17 0.3831 0.3002 0.4758
N18 0.3831 0.5829 0.9072
N19 0.4072 0.0829 0.8831
N20 0.4072 0.8244 0.5242
N21 0.4171 0.0928 0.6169
N22 0.4171 0.8244 0.8002
N23 0.4758 0.3831 0.3002
N24 0.4758 0.5928 0.1756
N25 0.5242 0.4072 0.8244
N26 0.5242 0.6169 0.6998
N27 0.5829 0.1756 0.1998
N28 0.5829 0.9072 0.3831
N29 0.5928 0.1756 0.4758
N30 0.5928 0.9171 0.1169
N31 0.6169 0.4171 0.0928
N32 0.6169 0.6998 0.5242
N33 0.6756 0.0829 0.6998
N34 0.6756 0.0928 0.9758
N35 0.6998 0.5242 0.6169
N36 0.6998 0.6756 0.0829
N37 0.8002 0.4171 0.8244
N38 0.8002 0.8831 0.9758
N39 0.8244 0.5242 0.4072
N40 0.8244 0.8002 0.4171
N41 0.8831 0.4072 0.0829
N42 0.8831 0.9758 0.8002
N43 0.9072 0.0242 0.3244
N44 0.9072 0.3831 0.5829
N45 0.9171 0.1169 0.5928
N46 0.9171 0.3002 0.3244
N47 0.9758 0.6756 0.0928
N48 0.9758 0.8002 0.8831

Record 6
Gd3Re3Mo2N12 | GGA-PBE | relaxed

crystal system: cubic
electronic total energy: -9.219 eV/atom
volume: 1036.3 Å³/cell

a b c (Å): 11.0416 11.0416 11.0416
angles (deg): 109.47 109.47 109.47
Sites, in units of the cell vectors:
Gd1 0.1250 0.2500 0.3750
Gd2 0.1250 0.3750 0.7500
Gd3 0.2500 0.3750 0.1250
Gd4 0.2500 0.8750 0.6250
Gd5 0.3750 0.1250 0.2500
Gd6 0.3750 0.7500 0.1250
Gd7 0.6250 0.2500 0.8750
Gd8 0.6250 0.8750 0.7500
Gd9 0.7500 0.1250 0.3750
Gd10 0.7500 0.6250 0.8750
Gd11 0.8750 0.6250 0.2500
Gd12 0.8750 0.7500 0.6250
Re1 0.1250 0.7500 0.8750
Re2 0.1250 0.8750 0.2500
Re3 0.2500 0.1250 0.8750
Re4 0.2500 0.6250 0.3750
Re5 0.3750 0.2500 0.6250
Re6 0.3750 0.6250 0.7500
Re7 0.6250 0.3750 0.2500
Re8 0.6250 0.7500 0.3750
Re9 0.7500 0.3750 0.6250
Re10 0.7500 0.8750 0.1250
Re11 0.8750 0.1250 0.7500
Re12 0.8750 0.2500 0.1250
Mo1 0.0000 0.0000 0.0000
Mo2 0.0000 0.0000 0.5000
Mo3 0.0000 0.5000 0.0000
Mo4 0.0000 0.5000 0.5000
Mo5 0.5000 0.0000 0.0000
Mo6 0.5000 0.0000 0.5000
Mo7 0.5000 0.5000 0.0000
Mo8 0.5000 0.5000 0.5000
N1 0.0181 0.2014 0.1165
N2 0.0181 0.3167 0.9017
N3 0.0849 0.7014 0.6833
N4 0.0849 0.8835 0.4017
N5 0.0983 0.6165 0.4151
N6 0.0983 0.9819 0.6833
N7 0.1165 0.0181 0.2014
N8 0.1165 0.5983 0.9151
N9 0.1833 0.2014 0.5849
N10 0.1833 0.4819 0.5983
N11 0.2014 0.1165 0.0181
N12 0.2014 0.5849 0.1833
N13 0.2986 0.3167 0.9151
N14 0.2986 0.4819 0.3835
N15 0.3167 0.9017 0.0181
N16 0.3167 0.9151 0.2986
N17 0.3835 0.2986 0.4819
N18 0.3835 0.5849 0.9017
N19 0.4017 0.0849 0.8835
N20 0.4017 0.8167 0.5181
N21 0.4151 0.0983 0.6165
N22 0.4151 0.8167 0.7986
N23 0.4819 0.3835 0.2986
N24 0.4819 0.5983 0.1833
N25 0.5181 0.4017 0.8167
N26 0.5181 0.6165 0.7014
N27 0.5849 0.1833 0.2014
N28 0.5849 0.9017 0.3835
N29 0.5983 0.1833 0.4819
N30 0.5983 0.9151 0.1165
N31 0.6165 0.4151 0.0983
N32 0.6165 0.7014 0.5181
N33 0.6833 0.0849 0.7014
N34 0.6833 0.0983 0.9819
N35 0.7014 0.5181 0.6165
N36 0.7014 0.6833 0.0849
N37 0.7986 0.4151 0.8167
N38 0.7986 0.8835 0.9819
N39 0.8167 0.5181 0.4017
N40 0.8167 0.7986 0.4151
N41 0.8835 0.4017 0.0849
N42 0.8835 0.9819 0.7986
N43 0.9017 0.0181 0.3167
N44 0.9017 0.3835 0.5849
N45 0.9151 0.1165 0.5983
N46 0.9151 0.2986 0.3167
N47 0.9819 0.6833 0.0983
N48 0.9819 0.7986 0.8835

Record 7
Gd3Re2Mo3N12 | GGA-PBE | relaxed

crystal system: cubic
electronic total energy: -9.164 eV/atom
volume: 1029.4 Å³/cell

a b c (Å): 11.0170 11.0170 11.0170
angles (deg): 109.47 109.47 109.47
Sites, in units of the cell vectors:
Gd1 0.1250 0.2500 0.3750
Gd2 0.1250 0.3750 0.7500
Gd3 0.2500 0.3750 0.1250
Gd4 0.2500 0.8750 0.6250
Gd5 0.3750 0.1250 0.2500
Gd6 0.3750 0.7500 0.1250
Gd7 0.6250 0.2500 0.8750
Gd8 0.6250 0.8750 0.7500
Gd9 0.7500 0.1250 0.3750
Gd10 0.7500 0.6250 0.8750
Gd11 0.8750 0.6250 0.2500
Gd12 0.8750 0.7500 0.6250
Re1 0.0000 0.0000 0.0000
Re2 0.0000 0.0000 0.5000
Re3 0.0000 0.5000 0.0000
Re4 0.0000 0.5000 0.5000
Re5 0.5000 0.0000 0.0000
Re6 0.5000 0.0000 0.5000
Re7 0.5000 0.5000 0.0000
Re8 0.5000 0.5000 0.5000
Mo1 0.1250 0.7500 0.8750
Mo2 0.1250 0.8750 0.2500
Mo3 0.2500 0.1250 0.8750
Mo4 0.2500 0.6250 0.3750
Mo5 0.3750 0.2500 0.6250
Mo6 0.3750 0.6250 0.7500
Mo7 0.6250 0.3750 0.2500
Mo8 0.6250 0.7500 0.3750
Mo9 0.7500 0.3750 0.6250
Mo10 0.7500 0.8750 0.1250
Mo11 0.8750 0.1250 0.7500
Mo12 0.8750 0.2500 0.1250
N1 0.0189 0.1984 0.1155
N2 0.0189 0.3205 0.9034
N3 0.0829 0.6984 0.6795
N4 0.0829 0.8845 0.4034
N5 0.0966 0.6155 0.4171
N6 0.0966 0.9811 0.6795
N7 0.1155 0.0189 0.1984
N8 0.1155 0.5966 0.9171
N9 0.1795 0.1984 0.5829
N10 0.1795 0.4811 0.5966
N11 0.1984 0.1155 0.0189
N12 0.1984 0.5829 0.1795
N13 0.3016 0.3205 0.9171
N14 0.3016 0.4811 0.3845
N15 0.3205 0.9034 0.0189
N16 0.3205 0.9171 0.3016
N17 0.3845 0.3016 0.4811
N18 0.3845 0.5829 0.9034
N19 0.4034 0.0829 0.8845
N20 0.4034 0.8205 0.5189
N21 0.4171 0.0966 0.6155
N22 0.4171 0.8205 0.8016
N23 0.4811 0.3845 0.3016
N24 0.4811 0.5966 0.1795
N25 0.5189 0.4034 0.8205
N26 0.5189 0.6155 0.6984
N27 0.5829 0.1795 0.1984
N28 0.5829 0.9034 0.3845
N29 0.5966 0.1795 0.4811
N30 0.5966 0.9171 0.1155
N31 0.6155 0.4171 0.0966
N32 0.6155 0.6984 0.5189
N33 0.6795 0.0829 0.6984
N34 0.6795 0.0966 0.9811
N35 0.6984 0.5189 0.6155
N36 0.6984 0.6795 0.0829
N37 0.8016 0.4171 0.8205
N38 0.8016 0.8845 0.9811
N39 0.8205 0.5189 0.4034
N40 0.8205 0.8016 0.4171
N41 0.8845 0.4034 0.0829
N42 0.8845 0.9811 0.8016
N43 0.9034 0.0189 0.3205
N44 0.9034 0.3845 0.5829
N45 0.9171 0.1155 0.5966
N46 0.9171 0.3016 0.3205
N47 0.9811 0.6795 0.0966
N48 0.9811 0.8016 0.8845

Record 8
Gd3Mo2W3N12 | GGA-PBE | relaxed

crystal system: cubic
electronic total energy: -9.471 eV/atom
volume: 1045.9 Å³/cell

a b c (Å): 11.0756 11.0756 11.0756
angles (deg): 109.47 109.47 109.47
Sites, in units of the cell vectors:
Gd1 0.1250 0.2500 0.3750
Gd2 0.1250 0.3750 0.7500
Gd3 0.2500 0.3750 0.1250
Gd4 0.2500 0.8750 0.6250
Gd5 0.3750 0.1250 0.2500
Gd6 0.3750 0.7500 0.1250
Gd7 0.6250 0.2500 0.8750
Gd8 0.6250 0.8750 0.7500
Gd9 0.7500 0.1250 0.3750
Gd10 0.7500 0.6250 0.8750
Gd11 0.8750 0.6250 0.2500
Gd12 0.8750 0.7500 0.6250
Mo1 0.0000 0.0000 0.0000
Mo2 0.0000 0.0000 0.5000
Mo3 0.0000 0.5000 0.0000
Mo4 0.0000 0.5000 0.5000
Mo5 0.5000 0.0000 0.0000
Mo6 0.5000 0.0000 0.5000
Mo7 0.5000 0.5000 0.0000
Mo8 0.5000 0.5000 0.5000
W1 0.1250 0.7500 0.8750
W2 0.1250 0.8750 0.2500
W3 0.2500 0.1250 0.8750
W4 0.2500 0.6250 0.3750
W5 0.3750 0.2500 0.6250
W6 0.3750 0.6250 0.7500
W7 0.6250 0.3750 0.2500
W8 0.6250 0.7500 0.3750
W9 0.7500 0.3750 0.6250
W10 0.7500 0.8750 0.1250
W11 0.8750 0.1250 0.7500
W12 0.8750 0.2500 0.1250
N1 0.0209 0.2029 0.1175
N2 0.0209 0.3180 0.9035
N3 0.0854 0.7029 0.6820
N4 0.0854 0.8825 0.4035
N5 0.0965 0.6175 0.4146
N6 0.0965 0.9791 0.6820
N7 0.1175 0.0209 0.2029
N8 0.1175 0.5965 0.9146
N9 0.1820 0.2029 0.5854
N10 0.1820 0.4791 0.5965
N11 0.2029 0.1175 0.0209
N12 0.2029 0.5854 0.1820
N13 0.2971 0.3180 0.9146
N14 0.2971 0.4791 0.3825
N15 0.3180 0.9035 0.0209
N16 0.3180 0.9146 0.2971
N17 0.3825 0.2971 0.4791
N18 0.3825 0.5854 0.9035
N19 0.4035 0.0854 0.8825
N20 0.4035 0.8180 0.5209
N21 0.4146 0.0965 0.6175
N22 0.4146 0.8180 0.7971
N23 0.4791 0.3825 0.2971
N24 0.4791 0.5965 0.1820
N25 0.5209 0.4035 0.8180
N26 0.5209 0.6175 0.7029
N27 0.5854 0.1820 0.2029
N28 0.5854 0.9035 0.3825
N29 0.5965 0.1820 0.4791
N30 0.5965 0.9146 0.1175
N31 0.6175 0.4146 0.0965
N32 0.6175 0.7029 0.5209
N33 0.6820 0.0854 0.7029
N34 0.6820 0.0965 0.9791
N35 0.7029 0.5209 0.6175
N36 0.7029 0.6820 0.0854
N37 0.7971 0.4146 0.8180
N38 0.7971 0.8825 0.9791
N39 0.8180 0.5209 0.4035
N40 0.8180 0.7971 0.4146
N41 0.8825 0.4035 0.0854
N42 0.8825 0.9791 0.7971
N43 0.9035 0.0209 0.3180
N44 0.9035 0.3825 0.5854
N45 0.9146 0.1175 0.5965
N46 0.9146 0.2971 0.3180
N47 0.9791 0.6820 0.0965
N48 0.9791 0.7971 0.8825

Record 9
GdNbMo | GGA-PBE | relaxed

formation energy from the elements: 0.856 eV per atom
crystal system: cubic
electronic total energy: -7.676 eV/atom
volume: 68.9 Å³/cell

a b c (Å): 4.6020 4.6020 4.6020
angles (deg): 60.00 60.00 60.00
Sites, in units of the cell vectors:
Gd1 0.0000 0.0000 0.0000
Nb1 0.2500 0.2500 0.2500
Mo1 0.5000 0.5000 0.5000

Record 10
NdGdMo | GGA-PBE | relaxed

formation energy from the elements: 1.233 eV per atom
energy above the most stable polymorph in this dataset: 0 meV/atom
crystal system: cubic
electronic total energy: -5.522 eV/atom
volume: 86.2 Å³/cell

a b c (Å): 4.9584 4.9584 4.9584
angles (deg): 60.00 60.00 60.00
Sites, in units of the cell vectors:
Nd1 0.0000 0.0000 0.0000
Gd1 0.7500 0.7500 0.7500
Mo1 0.5000 0.5000 0.5000

Record 11
GdMoPb | GGA-PBE | relaxed

crystal system: cubic
electronic total energy: -5.740 eV/atom
volume: 80.2 Å³/cell

a b c (Å): 4.8401 4.8401 4.8401
angles (deg): 60.00 60.00 60.00
Sites, in units of the cell vectors:
Gd1 0.0000 0.0000 0.0000
Mo1 0.5000 0.5000 0.5000
Pb1 0.2500 0.2500 0.2500

Record 12
PmGdMo | GGA-PBE | relaxed

formation energy from the elements: 1.235 eV per atom
crystal system: cubic
electronic total energy: -5.514 eV/atom
volume: 85.3 Å³/cell

a b c (Å): 4.9412 4.9412 4.9412
angles (deg): 60.00 60.00 60.00
Sites, in units of the cell vectors:
Pm1 0.0000 0.0000 0.0000
Gd1 0.7500 0.7500 0.7500
Mo1 0.5000 0.5000 0.5000

Look up the electronic total energy of the twelfth one. -5.514 eV/atom

What is the formula in the second record? GdMo

volume of number 5 (Gd3Nb3Mo2N12)? 1060.5 Å³/cell